Arrangement w

CaCrO2 (PBE+U, optimized geometry); density of states at the Fermi level = 0.000 states/eV per atom; density = 3.809 g cm⁻³
1.0
3.116 0.000 0.000
0.000 8.240 0.035
0.000 1.012 8.432
Ca Cr O
4 4 8
Direct
0.250 0.315 0.543
0.250 0.576 0.820
0.750 0.424 0.180
0.750 0.685 0.457
0.250 0.785 0.105
0.250 0.053 0.303
0.750 0.947 0.697
0.750 0.215 0.895
0.750 0.679 0.993
0.750 0.899 0.231
0.250 0.540 0.332
0.750 0.188 0.382
0.250 0.812 0.618
0.250 0.101 0.769
0.750 0.460 0.668
0.250 0.321 0.007



Arrangement x

CaCrO2 (PBE+U, optimized geometry); density of states at the Fermi level = 0.386 states/eV per atom; density = 3.737 g cm⁻³
1.0
0.670 -0.959 6.495
3.250 -2.318 5.256
3.179 0.815 5.726
Cr O Ca
1 2 1
Direct
0.500 0.500 0.500
0.885 0.885 0.885
0.115 0.115 0.115
0.000 0.000 0.000



Arrangement y

CaCrO2 (PBE+U, optimized geometry); density of states at the Fermi level = 0.146 states/eV per atom; density = 3.367 g cm⁻³
1.0
3.953 -7.469 3.668
6.126 -6.694 1.589
6.022 2.007 7.043
O Cr Ca
8 4 4
Direct
0.388 0.388 0.321
0.197 0.197 0.848
0.777 0.777 0.589
0.223 0.223 0.411
0.879 0.879 0.837
0.803 0.803 0.152
0.612 0.612 0.679
0.121 0.121 0.163
0.346 0.346 0.006
0.654 0.654 0.994
0.807 0.807 0.358
0.193 0.193 0.642
0.340 0.340 0.692
0.017 0.017 0.715
0.983 0.983 0.285
0.660 0.660 0.308



Quick one: least stable of them? arrangement x



Arrangement w

CaCr4O8 (PBE+U, optimized geometry); density of states at the Fermi level = 0.230 states/eV per atom; density = 3.694 g cm⁻³
1.0
5.829 -2.959 -0.013
5.829 2.959 -0.013
4.338 0.000 4.891
Cr O Ca
4 8 1
Direct
0.500 0.500 0.000
0.500 0.000 0.500
0.000 0.000 0.000
0.000 0.500 0.500
0.768 0.768 0.279
0.232 0.721 0.232
0.279 0.768 0.768
0.232 0.232 0.721
0.723 0.723 0.723
0.721 0.232 0.232
0.277 0.277 0.277
0.768 0.279 0.768
0.500 0.500 0.500



Arrangement x

CaCr4O8 (PBE+U, optimized geometry); density = 4.284 g cm⁻³
1.0
1.518 7.046 -0.033
-1.518 7.046 -0.033
0.000 6.146 6.783
O Ca Cr
8 1 4
Direct
0.551 0.551 0.215
0.226 0.226 0.890
0.847 0.847 0.315
0.877 0.877 0.565
0.784 0.784 0.050
0.167 0.167 0.646
0.146 0.146 0.378
0.470 0.470 0.720
0.589 0.589 0.910
0.657 0.657 0.499
0.163 0.163 0.159
0.365 0.365 0.439
0.863 0.863 0.782



Quick one: least stable of them? arrangement x



Arrangement w

Ca2Cr3O8 (PBE+U, optimized geometry); density of states at the Fermi level = 0.004 states/eV per atom; density = 3.806 g cm⁻³
1.0
-4.153 2.053 4.326
0.886 -0.642 6.244
1.677 4.408 1.789
O Ca Cr
8 2 3
Direct
0.117 0.682 0.392
0.099 0.099 0.090
0.396 0.396 0.959
0.682 0.117 0.392
0.883 0.318 0.608
0.901 0.901 0.910
0.604 0.604 0.041
0.318 0.883 0.608
0.276 0.276 0.670
0.724 0.724 0.330
0.261 0.739 0.000
0.739 0.261 0.000
0.000 0.000 0.500



Arrangement x

Ca2Cr3O8 (PBE+U, optimized geometry); density = 3.662 g cm⁻³
1.0
3.005 -5.205 0.000
3.005 5.205 0.000
0.000 0.000 10.557
O Ca Cr
16 4 6
Direct
0.477 0.523 0.347
0.046 0.523 0.347
0.309 0.154 0.157
0.523 0.046 0.847
0.667 0.333 0.645
0.846 0.691 0.157
0.000 0.000 0.845
0.000 0.000 0.345
0.333 0.667 0.145
0.691 0.846 0.657
0.154 0.309 0.657
0.523 0.477 0.847
0.954 0.477 0.847
0.477 0.954 0.347
0.154 0.846 0.657
0.846 0.154 0.157
0.667 0.333 0.433
0.333 0.667 0.933
0.333 0.667 0.523
0.667 0.333 0.023
0.836 0.673 0.746
0.327 0.164 0.746
0.164 0.836 0.246
0.673 0.836 0.246
0.164 0.327 0.246
0.836 0.164 0.746



Quick one: least stable of them? arrangement x



Arrangement w

Ca2Cr2O5 (PBE+U, optimized geometry); density = 3.801 g cm⁻³
1.0
-2.724 2.813 7.530
2.724 -2.813 7.530
2.724 2.813 -7.530
O Ca Cr
10 4 4
Direct
0.769 0.782 0.518
0.231 0.748 0.013
0.764 0.282 0.013
0.236 0.248 0.518
0.429 0.393 0.094
0.870 0.360 0.730
0.201 0.165 0.094
0.130 0.860 0.491
0.571 0.665 0.964
0.799 0.893 0.964
0.417 0.906 0.532
0.874 0.406 0.489
0.583 0.115 0.489
0.126 0.615 0.532
0.500 0.517 0.017
0.814 0.715 0.029
0.000 0.017 0.017
0.186 0.215 0.901



Arrangement x

Ca2Cr2O5 (PBE+U, optimized geometry); density = 3.979 g cm⁻³
1.0
3.960 0.000 0.000
0.000 5.444 0.000
0.000 0.000 10.225
O Ca Cr
10 4 4
Direct
0.000 0.717 0.888
0.000 0.783 0.388
0.500 0.000 0.000
0.500 0.397 0.800
0.500 0.897 0.700
0.500 0.103 0.300
0.500 0.500 0.500
0.500 0.603 0.200
0.000 0.283 0.112
0.000 0.217 0.612
0.000 0.292 0.379
0.000 0.792 0.121
0.000 0.208 0.879
0.000 0.708 0.621
0.500 0.736 0.867
0.500 0.764 0.367
0.500 0.264 0.133
0.500 0.236 0.633



Quick one: least stable of them? arrangement x



Arrangement w

RbCa2CrO (PBE+U, optimized geometry); density of states at the Fermi level = 0.297 states/eV per atom; density = 2.365 g cm⁻³
1.0
-0.686 4.684 -0.575
-6.944 -1.205 -1.536
-1.094 0.408 4.624
Ca Rb O Cr
2 1 1 1
Direct
0.000 0.000 0.500
0.500 0.000 0.000
0.500 0.500 0.500
0.000 0.000 0.000
0.000 0.500 0.000



Arrangement x

RbCa2CrO (PBE+U, optimized geometry); density of states at the Fermi level = 0.884 states/eV per atom; density = 1.761 g cm⁻³
1.0
5.875 0.000 0.000
0.000 6.381 0.000
0.000 0.000 5.875
Ca Cr O Rb
2 1 1 1
Direct
0.000 0.000 0.500
0.500 0.000 0.000
0.000 0.000 0.000
0.500 0.500 0.500
0.000 0.500 0.000



Quick one: least stable of them? arrangement x